[1]
# Zn2FeSi GGA-PBE optimized geometry
# * E_form (uncorrected): 127 meV/atom
data_Zn2FeSi
_space_group_name_H-M_alt 'P 1'
_space_group_IT_number 1
_cell_length_a 4.685
_cell_length_b 4.685
_cell_length_c 2.733
_cell_angle_alpha 90.00
_cell_angle_beta 90.00
_cell_angle_gamma 116.11
loop_
_space_group_symop_operation_xyz
'x,y,z'
loop_
_atom_site_label
_atom_site_fract_x
_atom_site_fract_y
_atom_site_fract_z
Fe1 0.500 0.000 0.500
Zn1 0.000 0.000 0.000
Zn2 0.500 0.500 0.000
Si1 0.000 0.500 0.500

=====

[2]
# ZnFeSi2 GGA-PBE optimized geometry
# * E_form (uncorrected): -40 meV/atom
data_ZnFeSi2
_space_group_name_H-M_alt 'P 1'
_space_group_IT_number 1
_cell_length_a 7.881
_cell_length_b 7.881
_cell_length_c 7.881
_cell_angle_alpha 20.34
_cell_angle_beta 20.34
_cell_angle_gamma 20.34
loop_
_space_group_symop_operation_xyz
'x,y,z'
loop_
_atom_site_label
_atom_site_fract_x
_atom_site_fract_y
_atom_site_fract_z
Zn1 0.250 0.250 0.250
Si1 0.010 0.010 0.010
Si2 0.490 0.490 0.490
Fe1 0.750 0.750 0.750

=====

[3]
# ZnFeSi GGA-PBE optimized geometry
# * polymorph energy (0 for the lowest one): 173 meV per atom
# * E_form (uncorrected): 27 meV/atom
data_ZnFeSi
_space_group_name_H-M_alt 'P 1'
_space_group_IT_number 1
_cell_length_a 3.883
_cell_length_b 3.883
_cell_length_c 2.947
_cell_angle_alpha 90.00
_cell_angle_beta 90.00
_cell_angle_gamma 120.00
loop_
_space_group_symop_operation_xyz
'x,y,z'
loop_
_atom_site_label
_atom_site_fract_x
_atom_site_fract_y
_atom_site_fract_z
Zn1 0.333 0.667 0.668
Si1 0.667 0.333 0.162
Fe1 0.000 0.000 0.170

=====

Total energy for every record listed, in sequence, given in eV/atom: -3.9810; -5.1858; -5.0258.